PBE-GGA Ta2IrBr, relaxed; E above lowest polymorph = 205 meV/atom; formation energy (no corrections) = 24 kJ/mol of atoms; space group = No. 123; DOS(E_F) = 3.8 states/eV/f.u.
1.0
4.8006 0.0026 0.0009
-0.0051 4.8006 0.0009
-0.0012 -0.0012 2.9484
Ta Br Ir
2 1 1
Direct
0.0000 0.0000 0.0000
0.5000 0.5000 0.0000
0.5000 0.0000 0.5000
0.0000 0.5000 0.5000



PBE-GGA Pr2NdZn2Si2, relaxed; formation energy (no corrections) = -46 kJ/mol of atoms; space group = No. 166; DOS(E_F) = 6.1 states/eV/f.u.
1.0
-3.6764 -1.6882 -0.8942
-0.3965 -4.1197 -0.1905
-4.0097 -2.2089 11.0577
Si Pr Nd Zn
2 2 1 2
Direct
0.2726 0.2726 0.1821
0.7274 0.7274 0.8179
0.8792 0.8792 0.3623
0.1208 0.1208 0.6377
0.0000 0.0000 0.0000
0.3942 0.3942 0.8175
0.6058 0.6058 0.1825